Run i
Below is a relaxed CrReIN2 crystal, with properties calculated at the PBE level.

Computed properties:
**Spin magnetization**: 0.891 μB per atom

Cell lengths 3.9026, 3.9026, 5.8394 Å; angles 90.00, 90.00, 90.00 degrees
Last column: nearest neighbours and their distance in Å.
Fractional positions:
I (0.0000, 0.0000, 0.5000)  4 Cr 2.76, 2 Re 2.92
Re (0.0000, 0.0000, 0.0000)  4 N 1.95
N (0.0000, 0.5000, 0.0000)  2 Re 1.95
N (0.5000, 0.0000, 0.0000)  2 Re 1.95
Cr (0.5000, 0.5000, 0.5000)  4 I 2.76

---

Run ii
Below is a relaxed CrReIN2 crystal, with properties calculated at the PBE level.

Computed properties:
**Spin magnetization**: 0.470 μB per atom

Cell lengths 3.7778, 3.7778, 5.8536 Å; angles 90.00, 90.00, 90.00 degrees
Last column: nearest neighbours and their distance in Å.
Fractional positions:
I (0.0000, 0.0000, 0.5000)  4 Re 2.67, 2 Cr 2.93
Re (0.5000, 0.5000, 0.5000)  4 I 2.67
N (0.0000, 0.5000, 0.0000)  2 Cr 1.89
N (0.5000, 0.0000, 0.0000)  2 Cr 1.89
Cr (0.0000, 0.0000, 0.0000)  4 N 1.89

---

What is the stability order? It is run i, run ii, from most stable to least stable.

---

Run i
Below is a relaxed CrRhI2N crystal, with properties calculated at the PBE level.

Computed properties:
**Spin magnetization**: 0.949 μB per atom

Cell lengths 5.6648, 5.6648, 3.7082 Å; angles 90.00, 90.00, 90.00 degrees
Last column: nearest neighbours and their distance in Å.
Fractional positions:
I (0.0000, 0.5000, 0.0000)  2 Rh 2.83
I (0.5000, 0.0000, 0.0000)  2 Rh 2.83
Cr (0.5000, 0.5000, 0.5000)  8 I 3.39, 2 Cr 3.71
Rh (0.0000, 0.0000, 0.0000)  2 N 1.85
N (0.0000, 0.0000, 0.5000)  2 Rh 1.85

---

Run ii
Below is a relaxed CrRhI2N crystal, with properties calculated at the PBE level.

Computed properties:
**Spin magnetization**: 0.360 μB per atom

Cell lengths 5.4090, 5.4090, 3.5481 Å; angles 90.00, 90.00, 90.00 degrees
Last column: nearest neighbours and their distance in Å.
Fractional positions:
I (0.0000, 0.5000, 0.0000)  2 Cr 2.70
I (0.5000, 0.0000, 0.0000)  2 Cr 2.70
Cr (0.0000, 0.0000, 0.0000)  2 N 1.77
Rh (0.5000, 0.5000, 0.5000)  8 I 3.23, 2 Rh 3.55
N (0.0000, 0.0000, 0.5000)  2 Cr 1.77

---

What is the stability order? It is run ii, run i, from most stable to least stable.

---

Run i
Below is a relaxed CrSbIN2 crystal, with properties calculated at the PBE level.

Computed properties:
**Spin magnetization**: 1.164 μB per atom

Cell lengths 4.0611, 4.0611, 7.1466 Å; angles 90.00, 90.00, 90.00 degrees
Last column: nearest neighbours and their distance in Å.
Fractional positions:
I (0.0000, 0.0000, 0.5000)  4 Cr 2.87
Sb (0.0000, 0.0000, 0.0000)  4 N 2.03
N (0.0000, 0.5000, 0.0000)  2 Sb 2.03
N (0.5000, 0.0000, 0.0000)  2 Sb 2.03
Cr (0.5000, 0.5000, 0.5000)  4 I 2.87

---

Run ii
Below is a relaxed CrSbIN2 crystal, with properties calculated at the PBE level.

Computed properties:
**Spin magnetization**: 0.242 μB per atom

Cell lengths 4.0755, 4.0755, 5.4958 Å; angles 90.00, 90.00, 90.00 degrees
Last column: nearest neighbours and their distance in Å.
Fractional positions:
I (0.0000, 0.0000, 0.5000)  2 Cr 2.75, 4 Sb 2.88
Sb (0.5000, 0.5000, 0.5000)  4 I 2.88
N (0.0000, 0.5000, 0.0000)  2 Cr 2.04
N (0.5000, 0.0000, 0.0000)  2 Cr 2.04
Cr (0.0000, 0.0000, 0.0000)  4 N 2.04

---

What is the stability order? It is run ii, run i, from most stable to least stable.

---

Run i
Below is a relaxed CrSeI2N crystal, with properties calculated at the PBE level.

Computed properties:
**Spin magnetization**: 0.097 μB per atom

Cell lengths 5.9325, 5.9325, 3.6824 Å; angles 90.00, 90.00, 90.00 degrees
Last column: nearest neighbours and their distance in Å.
Fractional positions:
I (0.0000, 0.5000, 0.0000)  2 Se 2.97
I (0.5000, 0.0000, 0.0000)  2 Se 2.97
Cr (0.5000, 0.5000, 0.5000)  8 I 3.49, 2 Cr 3.68
Se (0.0000, 0.0000, 0.0000)  2 N 1.84
N (0.0000, 0.0000, 0.5000)  2 Se 1.84

---

Run ii
Below is a relaxed CrSeI2N crystal, with properties calculated at the PBE level.

Computed properties:
**Spin magnetization**: 0.000 μB per atom

Cell lengths 5.4230, 5.4230, 3.6080 Å; angles 90.00, 90.00, 90.00 degrees
Last column: nearest neighbours and their distance in Å.
Fractional positions:
I (0.0000, 0.5000, 0.0000)  2 Cr 2.71
I (0.5000, 0.0000, 0.0000)  2 Cr 2.71
Cr (0.0000, 0.0000, 0.0000)  2 N 1.80
Se (0.5000, 0.5000, 0.5000)  8 I 3.26, 2 Se 3.61
N (0.0000, 0.0000, 0.5000)  2 Cr 1.80

---

What is the stability order? It is run ii, run i, from most stable to least stable.

---

Run i
Below is a relaxed SrCrIN2 crystal, with properties calculated at the PBE level.

Computed properties:
**Spin magnetization**: 0.199 μB per atom

Cell lengths 4.1400, 4.1400, 5.3727 Å; angles 90.00, 90.00, 90.00 degrees
Last column: nearest neighbours and their distance in Å.
Fractional positions:
I (0.0000, 0.0000, 0.5000)  2 Cr 2.69, 4 Sr 2.93
Sr (0.5000, 0.5000, 0.5000)  4 I 2.93
N (0.0000, 0.5000, 0.0000)  2 Cr 2.07
N (0.5000, 0.0000, 0.0000)  2 Cr 2.07
Cr (0.0000, 0.0000, 0.0000)  4 N 2.07

---

Run ii
Below is a relaxed SrCrIN2 crystal, with properties calculated at the PBE level.

Computed properties:
**Spin magnetization**: 0.967 μB per atom

Cell lengths 4.7464, 4.7464, 6.5727 Å; angles 90.00, 90.00, 90.00 degrees
Last column: nearest neighbours and their distance in Å.
Fractional positions:
I (0.0000, 0.0000, 0.5000)  2 Sr 3.29, 4 Cr 3.36
Sr (0.0000, 0.0000, 0.0000)  4 N 2.37
N (0.0000, 0.5000, 0.0000)  2 Sr 2.37
N (0.5000, 0.0000, 0.0000)  2 Sr 2.37
Cr (0.5000, 0.5000, 0.5000)  4 I 3.36

---

What is the stability order? It is run i, run ii, from most stable to least stable.

---

Run i
Below is a relaxed TaCrIN2 crystal, with properties calculated at the PBE level.

Computed properties:
**Spin magnetization**: 0.464 μB per atom

Cell lengths 3.8814, 3.8814, 5.2682 Å; angles 90.00, 90.00, 90.00 degrees
Last column: nearest neighbours and their distance in Å.
Fractional positions:
I (0.0000, 0.0000, 0.5000)  2 Cr 2.63, 4 Ta 2.74
Cr (0.0000, 0.0000, 0.0000)  4 N 1.94
N (0.0000, 0.5000, 0.0000)  2 Cr 1.94
N (0.5000, 0.0000, 0.0000)  2 Cr 1.94
Ta (0.5000, 0.5000, 0.5000)  4 I 2.74

---

Run ii
Below is a relaxed TaCrIN2 crystal, with properties calculated at the PBE level.

Computed properties:
**Spin magnetization**: 0.919 μB per atom

Cell lengths 4.0440, 4.0440, 5.9100 Å; angles 90.00, 90.00, 90.00 degrees
Last column: nearest neighbours and their distance in Å.
Fractional positions:
I (0.0000, 0.0000, 0.5000)  4 Cr 2.86, 2 Ta 2.95
Cr (0.5000, 0.5000, 0.5000)  4 I 2.86
N (0.0000, 0.5000, 0.0000)  2 Ta 2.02
N (0.5000, 0.0000, 0.0000)  2 Ta 2.02
Ta (0.0000, 0.0000, 0.0000)  4 N 2.02

---

What is the stability order? It is run ii, run i, from most stable to least stable.

---

Run i
Below is a relaxed TaCrI2N crystal, with properties calculated at the PBE level.

Computed properties:
**Spin magnetization**: 1.075 μB per atom

Cell lengths 5.7014, 5.7014, 3.9273 Å; angles 90.00, 90.00, 90.00 degrees
Last column: nearest neighbours and their distance in Å.
Fractional positions:
I (0.0000, 0.5000, 0.0000)  2 Ta 2.85
I (0.5000, 0.0000, 0.0000)  2 Ta 2.85
Cr (0.5000, 0.5000, 0.5000)  8 I 3.46
N (0.0000, 0.0000, 0.5000)  2 Ta 1.96
Ta (0.0000, 0.0000, 0.0000)  2 N 1.96

---

Run ii
Below is a relaxed TaCrI2N crystal, with properties calculated at the PBE level.

Computed properties:
**Spin magnetization**: 0.977 μB per atom

Cell lengths 5.5522, 5.5522, 3.5626 Å; angles 90.00, 90.00, 90.00 degrees
Last column: nearest neighbours and their distance in Å.
Fractional positions:
I (0.0000, 0.5000, 0.0000)  2 Cr 2.78
I (0.5000, 0.0000, 0.0000)  2 Cr 2.78
Cr (0.0000, 0.0000, 0.0000)  2 N 1.78
N (0.0000, 0.0000, 0.5000)  2 Cr 1.78
Ta (0.5000, 0.5000, 0.5000)  8 I 3.30, 2 Ta 3.56

---

What is the stability order? It is run i, run ii, from most stable to least stable.

---

Run i
Below is a relaxed CrTcI2N crystal, with properties calculated at the PBE level.

Computed properties:
**Spin magnetization**: 1.306 μB per atom

Cell lengths 5.6521, 5.6521, 3.6206 Å; angles 90.00, 90.00, 90.00 degrees
Last column: nearest neighbours and their distance in Å.
Fractional positions:
I (0.0000, 0.5000, 0.0000)  2 Cr 2.83
I (0.5000, 0.0000, 0.0000)  2 Cr 2.83
Cr (0.0000, 0.0000, 0.0000)  2 N 1.81
Tc (0.5000, 0.5000, 0.5000)  8 I 3.36, 2 Tc 3.62
N (0.0000, 0.0000, 0.5000)  2 Cr 1.81

---

Run ii
Below is a relaxed CrTcI2N crystal, with properties calculated at the PBE level.

Computed properties:
**Spin magnetization**: 0.903 μB per atom

Cell lengths 5.5931, 5.5931, 3.7608 Å; angles 90.00, 90.00, 90.00 degrees
Last column: nearest neighbours and their distance in Å.
Fractional positions:
I (0.0000, 0.5000, 0.0000)  2 Tc 2.80
I (0.5000, 0.0000, 0.0000)  2 Tc 2.80
Cr (0.5000, 0.5000, 0.5000)  8 I 3.37, 2 Cr 3.76
Tc (0.0000, 0.0000, 0.0000)  2 N 1.88
N (0.0000, 0.0000, 0.5000)  2 Tc 1.88

---

What is the stability order? It is run ii, run i, from most stable to least stable.

---

Run i
Below is a relaxed CrTcIN2 crystal, with properties calculated at the PBE level.

Computed properties:
**Spin magnetization**: 0.621 μB per atom

Cell lengths 3.7788, 3.7788, 5.5594 Å; angles 90.00, 90.00, 90.00 degrees
Last column: nearest neighbours and their distance in Å.
Fractional positions:
I (0.0000, 0.0000, 0.5000)  4 Tc 2.67, 2 Cr 2.78
Cr (0.0000, 0.0000, 0.0000)  4 N 1.89
Tc (0.5000, 0.5000, 0.5000)  4 I 2.67
N (0.0000, 0.5000, 0.0000)  2 Cr 1.89
N (0.5000, 0.0000, 0.0000)  2 Cr 1.89

---

Run ii
Below is a relaxed CrTcIN2 crystal, with properties calculated at the PBE level.

Computed properties:
**Spin magnetization**: 0.898 μB per atom

Cell lengths 3.9013, 3.9013, 5.7998 Å; angles 90.00, 90.00, 90.00 degrees
Last column: nearest neighbours and their distance in Å.
Fractional positions:
I (0.0000, 0.0000, 0.5000)  4 Cr 2.76, 2 Tc 2.90
Cr (0.5000, 0.5000, 0.5000)  4 I 2.76
Tc (0.0000, 0.0000, 0.0000)  4 N 1.95
N (0.0000, 0.5000, 0.0000)  2 Tc 1.95
N (0.5000, 0.0000, 0.0000)  2 Tc 1.95

---

What is the stability order? It is run ii, run i, from most stable to least stable.

---

Run i
Below is a relaxed CrTeIN2 crystal, with properties calculated at the PBE level.

Computed properties:
**Spin magnetization**: 0.824 μB per atom

Cell lengths 3.9744, 3.9744, 7.4183 Å; angles 90.00, 90.00, 90.00 degrees
Last column: nearest neighbours and their distance in Å.
Fractional positions:
I (0.0000, 0.0000, 0.0000)  4 N 1.99
Cr (0.5000, 0.5000, 0.5000)  4 Te 2.81
Te (0.0000, 0.0000, 0.5000)  4 Cr 2.81
N (0.0000, 0.5000, 0.0000)  2 I 1.99
N (0.5000, 0.0000, 0.0000)  2 I 1.99

---

Run ii
Below is a relaxed CrTeIN2 crystal, with properties calculated at the PBE level.

Computed properties:
**Spin magnetization**: 0.065 μB per atom

Cell lengths 4.0362, 4.0362, 5.8190 Å; angles 90.00, 90.00, 90.00 degrees
Last column: nearest neighbours and their distance in Å.
Fractional positions:
I (0.5000, 0.5000, 0.5000)  4 Te 2.85
Cr (0.0000, 0.0000, 0.0000)  4 N 2.02
Te (0.0000, 0.0000, 0.5000)  4 I 2.85, 2 Cr 2.91
N (0.0000, 0.5000, 0.0000)  2 Cr 2.02
N (0.5000, 0.0000, 0.0000)  2 Cr 2.02

---

Run iii
Below is a relaxed CrTeIN2 crystal, with properties calculated at the PBE level.

Computed properties:
**Spin magnetization**: 0.000 μB per atom

Cell lengths 3.9624, 3.9624, 5.7611 Å; angles 90.00, 90.00, 90.00 degrees
Last column: nearest neighbours and their distance in Å.
Fractional positions:
I (0.0000, 0.0000, 0.5000)  4 Te 2.80, 2 Cr 2.88
Cr (0.0000, 0.0000, 0.0000)  4 N 1.98
Te (0.5000, 0.5000, 0.5000)  4 I 2.80
N (0.0000, 0.5000, 0.0000)  2 Cr 1.98
N (0.5000, 0.0000, 0.0000)  2 Cr 1.98

---

Run iv
Below is a relaxed CrTeIN2 crystal, with properties calculated at the PBE level.

Computed properties:
**Spin magnetization**: 0.965 μB per atom

Cell lengths 4.0456, 4.0456, 7.6520 Å; angles 90.00, 90.00, 90.00 degrees
Last column: nearest neighbours and their distance in Å.
Fractional positions:
I (0.0000, 0.0000, 0.5000)  4 Cr 2.86
Cr (0.5000, 0.5000, 0.5000)  4 I 2.86
Te (0.0000, 0.0000, 0.0000)  4 N 2.02
N (0.0000, 0.5000, 0.0000)  2 Te 2.02
N (0.5000, 0.0000, 0.0000)  2 Te 2.02

---

What is the stability order? It is run ii, run iii, run iv, run i, from most stable to least stable.

---

Run i
Below is a relaxed TlCrIN2 crystal, with properties calculated at the PBE level.

Computed properties:
**Spin magnetization**: 0.000 μB per atom

Cell lengths 4.0157, 4.0157, 5.5367 Å; angles 90.00, 90.00, 90.00 degrees
Last column: nearest neighbours and their distance in Å.
Fractional positions:
I (0.0000, 0.0000, 0.5000)  2 Cr 2.77, 4 Tl 2.84
Cr (0.0000, 0.0000, 0.0000)  4 N 2.01
Tl (0.5000, 0.5000, 0.5000)  4 I 2.84
N (0.0000, 0.5000, 0.0000)  2 Cr 2.01
N (0.5000, 0.0000, 0.0000)  2 Cr 2.01

---

Run ii
Below is a relaxed TlCrIN2 crystal, with properties calculated at the PBE level.

Computed properties:
**Spin magnetization**: 0.590 μB per atom

Cell lengths 4.2443, 4.2443, 6.8317 Å; angles 90.00, 90.00, 90.00 degrees
Last column: nearest neighbours and their distance in Å.
Fractional positions:
I (0.0000, 0.0000, 0.5000)  4 Cr 3.00
Cr (0.5000, 0.5000, 0.5000)  4 I 3.00
Tl (0.0000, 0.0000, 0.0000)  4 N 2.12
N (0.0000, 0.5000, 0.0000)  2 Tl 2.12
N (0.5000, 0.0000, 0.0000)  2 Tl 2.12

---

What is the stability order? It is run i, run ii, from most stable to least stable.

---

Run i
Below is a relaxed VCrI2N crystal, with properties calculated at the PBE level.

Computed properties:
**Spin magnetization**: 0.502 μB per atom

Cell lengths 5.5407, 5.5407, 3.5996 Å; angles 90.00, 90.00, 90.00 degrees
Last column: nearest neighbours and their distance in Å.
Fractional positions:
I (0.0000, 0.5000, 0.0000)  2 Cr 2.77
I (0.5000, 0.0000, 0.0000)  2 Cr 2.77
Cr (0.0000, 0.0000, 0.0000)  2 N 1.80
N (0.0000, 0.0000, 0.5000)  2 Cr 1.80
V (0.5000, 0.5000, 0.5000)  8 I 3.30, 2 V 3.60

---

Run ii
Below is a relaxed VCrI2N crystal, with properties calculated at the PBE level.

Computed properties:
**Spin magnetization**: 1.199 μB per atom

Cell lengths 5.6134, 5.6134, 3.6912 Å; angles 90.00, 90.00, 90.00 degrees
Last column: nearest neighbours and their distance in Å.
Fractional positions:
I (0.0000, 0.5000, 0.0000)  2 V 2.81
I (0.5000, 0.0000, 0.0000)  2 V 2.81
Cr (0.5000, 0.5000, 0.5000)  8 I 3.36, 2 Cr 3.69
N (0.0000, 0.0000, 0.5000)  2 V 1.85
V (0.0000, 0.0000, 0.0000)  2 N 1.85

---

What is the stability order? It is run ii, run i, from most stable to least stable.